K2BeSeS: relaxed, PBE-GGA.

a b c (Å): 6.1992 6.1992 3.6819
angles (deg): 90.00 90.00 90.00
Space group P4/mmm (No. 123)
One atom of each set of equivalent atoms:
K (0.0000, 0.5000, 0.0000) (multiplicity 2)
Be (0.0000, 0.0000, 0.0000) (multiplicity 1)
Se (0.5000, 0.5000, 0.5000) (multiplicity 1)
S (0.0000, 0.0000, 0.5000) (multiplicity 1)

Summary:
Uncorrected formation energy   -0.472 eV per atom
DOS(E_F)   2.249 states/eV/cell
E_tot   -15.9 eV for the cell shown
ρ   2326 kg/m3

K2Be2SeS2: relaxed, PBE-GGA.

a b c (Å): 3.5483 7.1704 7.2645
angles (deg): 79.97 75.91 75.72
Space group P-1 (No. 2)
One atom of each set of equivalent atoms:
K (0.0033, 0.2893, 0.2041) (multiplicity 2)
Be (0.2994, 0.2041, 0.7008) (multiplicity 2)
Se (0.5000, 0.0000, 0.5000) (multiplicity 1)
S (0.2992, 0.6982, 0.1995) (multiplicity 2)

Summary:
Uncorrected formation energy   -0.943 eV per atom
E_tot   -28.0 eV for the cell shown
ρ   2304 kg/m3

KSrBeS2: relaxed, PBE-GGA.

a b c (Å): 7.2998 4.7896 8.6705
angles (deg): 90.00 101.02 90.00
Space group P2/c (No. 13)
One atom of each set of equivalent atoms:
K (0.0000, 0.1806, 0.2500) (multiplicity 2)
Sr (0.5000, 0.4841, 0.7500) (multiplicity 2)
Be (0.5000, 0.0000, 0.0000) (multiplicity 2)
S (0.2791, 0.2399, 0.9696) (multiplicity 4)

Summary:
Uncorrected formation energy   -0.976 eV per atom
DOS(E_F)   3.994 states/eV/cell
E_tot   -39.3 eV for the cell shown
ρ   2231 kg/m3

K2SrBe2S4: relaxed, PBE-GGA.

a b c (Å): 15.4244 3.8671 8.1986
angles (deg): 90.00 117.10 90.00
Space group C2/m (No. 12)
One atom of each set of equivalent atoms:
K (0.1221, 0.0000, 0.0680) (multiplicity 4)
Sr (0.0000, 0.0000, 0.5000) (multiplicity 2)
Be (0.1745, 0.5000, 0.4593) (multiplicity 4)
S (0.0307, 0.5000, 0.2650) (multiplicity 4)
S (0.2158, 0.0000, 0.6315) (multiplicity 4)

Summary:
Uncorrected formation energy   -1.295 eV per atom
DOS(E_F)   0.000 states/eV/cell
E_tot   -79.0 eV for the cell shown
ρ   2381 kg/m3

K2TaBeS5: relaxed, PBE-GGA.

a b c (Å): 3.5306 19.8322 12.8581
angles (deg): 90.00 90.00 90.00
Space group Cmc2_1 (No. 36)
One atom of each set of equivalent atoms:
K (0.0000, 0.1112, 0.0000) (multiplicity 4)
K (0.0000, 0.1192, 0.3903) (multiplicity 4)
Ta (0.0000, 0.2215, 0.7181) (multiplicity 4)
Be (0.0000, 0.4108, 0.1500) (multiplicity 4)
S (0.0000, 0.0863, 0.7395) (multiplicity 4)
S (0.0000, 0.2859, 0.3506) (multiplicity 4)
S (0.0000, 0.3054, 0.0875) (multiplicity 4)
S (0.0000, 0.3346, 0.6959) (multiplicity 4)
S (0.0000, 0.4786, 0.0320) (multiplicity 4)

Summary:
Uncorrected formation energy   -0.945 eV per atom
DOS(E_F)   13.674 states/eV/cell
E_tot   -187.7 eV for the cell shown
ρ   3161 kg/m3

KTbBeS3: relaxed, PBE-GGA.

a b c (Å): 8.9294 3.8743 9.0848
angles (deg): 90.00 107.64 90.00
Space group P2_1/m (No. 11)
One atom of each set of equivalent atoms:
K (0.1963, 0.2500, 0.2285) (multiplicity 2)
Tb (0.3342, 0.7500, 0.8480) (multiplicity 2)
Be (0.0746, 0.2500, 0.6026) (multiplicity 2)
S (0.1144, 0.2500, 0.8386) (multiplicity 2)
S (0.1657, 0.7500, 0.5274) (multiplicity 2)
S (0.4545, 0.7500, 0.1618) (multiplicity 2)

Summary:
Uncorrected formation energy   -1.558 eV per atom
DOS(E_F)   0.000 states/eV/cell
E_tot   -62.4 eV for the cell shown
ρ   3362 kg/m3

K2BeTeS4: relaxed, PBE-GGA.

a b c (Å): 5.9969 13.6874 23.3161
angles (deg): 90.00 90.00 90.00
Space group Fddd (No. 70, origin choice 2)
One atom of each set of equivalent atoms:
K (0.1250, 0.1250, 0.3070) (multiplicity 16)
Be (0.1250, 0.1250, 0.6250) (multiplicity 8)
Te (0.1250, 0.1250, 0.1250) (multiplicity 8)
S (0.0773, 0.2794, 0.8228) (multiplicity 32)

Summary:
Uncorrected formation energy   -0.599 eV per atom
E_tot   -242.9 eV for the cell shown
ρ   2381 kg/m3

KTiBe2S: relaxed, PBE-GGA.

a b c (Å): 4.5615 4.5615 5.0884
angles (deg): 90.00 90.00 90.00
Space group P4/mmm (No. 123)
One atom of each set of equivalent atoms:
K (0.0000, 0.0000, 0.0000) (multiplicity 1)
Ti (0.5000, 0.5000, 0.5000) (multiplicity 1)
Be (0.0000, 0.5000, 0.0000) (multiplicity 2)
S (0.0000, 0.0000, 0.5000) (multiplicity 1)

Summary:
Uncorrected formation energy   1.886 eV per atom
DOS(E_F)   7.530 states/eV/cell
E_tot   -11.1 eV for the cell shown
ρ   2150 kg/m3

K2UBeS4: relaxed, PBE-GGA.

a b c (Å): 10.2281 11.7910 8.0714
angles (deg): 90.00 112.08 90.00
Space group C2/c (No. 15)
One atom of each set of equivalent atoms:
K (0.0000, 0.0000, 0.0000) (multiplicity 4)
K (0.2500, 0.2500, 0.0000) (multiplicity 4)
U (0.0000, 0.5000, 0.0000) (multiplicity 4)
Be (0.2500, 0.2500, 0.5000) (multiplicity 4)
S (0.0748, 0.2629, 0.5382) (multiplicity 8)
S (0.1842, 0.4972, 0.3404) (multiplicity 8)

Summary:
Uncorrected formation energy   -1.070 eV per atom
DOS(E_F)   17.841 states/eV/cell
E_tot   -169.1 eV for the cell shown
ρ   3339 kg/m3

KUBeS3: relaxed, PBE-GGA.

a b c (Å): 9.0980 3.7888 9.0988
angles (deg): 90.00 108.50 90.00
Space group P2_1/m (No. 11)
One atom of each set of equivalent atoms:
K (0.1943, 0.2500, 0.2301) (multiplicity 2)
U (0.3385, 0.7500, 0.8514) (multiplicity 2)
Be (0.0784, 0.2500, 0.6048) (multiplicity 2)
S (0.1127, 0.2500, 0.8411) (multiplicity 2)
S (0.1627, 0.7500, 0.5275) (multiplicity 2)
S (0.4509, 0.7500, 0.1672) (multiplicity 2)

Summary:
Uncorrected formation energy   -1.208 eV per atom
DOS(E_F)   8.450 states/eV/cell
E_tot   -71.5 eV for the cell shown
ρ   4269 kg/m3

K2U2BeS6: relaxed, PBE-GGA.

a b c (Å): 6.5628 12.5512 7.7802
angles (deg): 90.00 105.29 90.00
Space group C2/m (No. 12)
One atom of each set of equivalent atoms:
K (0.0000, 0.1522, 0.0000) (multiplicity 4)
U (0.0000, 0.3347, 0.5000) (multiplicity 4)
Be (0.0000, 0.0000, 0.5000) (multiplicity 2)
S (0.2139, 0.0000, 0.3528) (multiplicity 4)
S (0.2403, 0.1864, 0.7046) (multiplicity 8)

Summary:
Uncorrected formation energy   -1.196 eV per atom
DOS(E_F)   26.836 states/eV/cell
E_tot   -132.8 eV for the cell shown
ρ   4060 kg/m3

K3U3BeS8: relaxed, PBE-GGA.

a b c (Å): 13.5333 7.8108 8.8157
angles (deg): 90.00 120.79 90.00
Space group C2/m (No. 12)
One atom of each set of equivalent atoms:
K (0.0000, 0.0000, 0.0000) (multiplicity 2)
K (0.2500, 0.2500, 0.0000) (multiplicity 4)
U (0.0000, 0.5000, 0.5000) (multiplicity 2)
U (0.2500, 0.2500, 0.5000) (multiplicity 4)
Be (0.0000, 0.0000, 0.5000) (multiplicity 2)
S (0.0165, 0.2328, 0.3170) (multiplicity 8)
S (0.2139, 0.0000, 0.6815) (multiplicity 4)
S (0.2353, 0.5000, 0.7068) (multiplicity 4)

Summary:
Uncorrected formation energy   -1.250 eV per atom
DOS(E_F)   33.218 states/eV/cell
E_tot   -185.3 eV for the cell shown
ρ   4551 kg/m3